ZnCr2Ag PBE optimized geometry; total moment = 0.806 Bohr magnetons per cell; symmetry = R-3m; ρ = 8.3 Mg/m³; E_form = 2.272 eV/f.u.
1.0
1.326 0.765 9.132
-1.326 0.765 9.132
0.000 -1.531 9.132
Zn Cr Ag
1 2 1
Direct
0.000 0.000 0.000
0.253 0.253 0.253
0.747 0.747 0.747
0.500 0.500 0.500

BPd2 PBE optimized geometry; total moment = 0.000 Bohr magnetons per cell; symmetry = Pnnm; ρ = 9.5 Mg/m³; E_form = -0.778 eV/f.u.
1.0
4.763 0.000 0.000
0.000 5.158 0.000
0.000 0.000 3.169
B Pd
2 4
Direct
0.000 0.000 0.000
0.500 0.500 0.500
0.245 0.156 0.500
0.255 0.656 0.000
0.745 0.344 0.000
0.755 0.844 0.500

Sm3Dy12Ho PBE optimized geometry; total moment = 0.000 Bohr magnetons per cell; symmetry = P4/mmm; ρ = 8.4 Mg/m³; E_form = 0.295 eV/f.u.
1.0
5.029 0.000 0.000
0.000 5.029 0.000
0.000 0.000 20.112
Sm Dy Ho
3 12 1
Direct
0.000 0.000 0.000
0.000 0.000 0.251
0.000 0.000 0.749
0.000 0.500 0.126
0.000 0.500 0.376
0.000 0.500 0.624
0.000 0.500 0.874
0.500 0.000 0.126
0.500 0.000 0.376
0.500 0.000 0.624
0.500 0.000 0.874
0.500 0.500 0.000
0.500 0.500 0.251
0.500 0.500 0.500
0.500 0.500 0.749
0.000 0.000 0.500

BeP2PdO PBE optimized geometry; total moment = 0.751 Bohr magnetons per cell; symmetry = P4/mmm; ρ = 3.7 Mg/m³; relative energy among the computed polymorphs = 1012 meV/atom
1.0
4.793 0.000 0.000
0.000 4.793 0.000
0.000 0.000 3.753
Be P Pd O
1 2 1 1
Direct
0.000 0.000 0.000
0.000 0.500 0.500
0.500 0.000 0.500
0.500 0.500 0.500
0.500 0.500 0.000

Th6Ge2Te3Os PBE optimized geometry; final energy = -7.140 eV/atom; total moment = 0.000 Bohr magnetons per cell; symmetry = C2/m; ρ = 9.7 Mg/m³
1.0
9.638 -2.134 0.000
9.638 2.134 0.000
-2.303 0.000 8.759
Th Ge Te Os
6 2 3 1
Direct
0.003 0.003 0.215
0.326 0.326 0.435
0.348 0.348 0.905
0.652 0.652 0.095
0.674 0.674 0.565
0.997 0.997 0.785
0.165 0.165 0.334
0.835 0.835 0.666
0.173 0.173 0.833
0.500 0.500 0.500
0.827 0.827 0.167
0.500 0.500 0.000

KZrCuBr6 PBE optimized geometry; final energy = -3.822 eV/atom; total moment = 0.250 Bohr magnetons per cell; symmetry = P-31c; ρ = 3.6 Mg/m³
1.0
6.979 0.000 0.000
-3.490 6.044 0.000
0.000 0.000 14.663
K Zr Cu Br
2 2 2 12
Direct
0.000 0.000 0.000
0.000 0.000 0.500
0.333 0.667 0.250
0.667 0.333 0.750
0.333 0.667 0.750
0.667 0.333 0.250
0.005 0.374 0.146
0.005 0.630 0.354
0.370 0.374 0.354
0.370 0.995 0.146
0.374 0.005 0.646
0.374 0.370 0.854
0.626 0.630 0.146
0.626 0.995 0.354
0.630 0.005 0.854
0.630 0.626 0.646
0.995 0.370 0.646
0.995 0.626 0.854

Li2YGeS4 PBE optimized geometry; final energy = -5.128 eV/atom; total moment = 0.000 Bohr magnetons per cell; symmetry = P2/m; ρ = 3.3 Mg/m³
1.0
6.509 0.000 0.000
0.000 3.765 0.000
-2.234 0.000 6.227
Li Y Ge S
2 1 1 4
Direct
0.000 0.000 0.000
0.000 0.500 0.500
0.500 0.000 0.500
0.500 0.500 0.000
0.252 0.500 0.235
0.255 0.000 0.763
0.745 0.000 0.237
0.748 0.500 0.765

CaTl2In3Br6 PBE optimized geometry; final energy = -2.984 eV/atom; total moment = 0.000 Bohr magnetons per cell; symmetry = C2/m; ρ = 4.8 Mg/m³
1.0
3.997 -7.662 0.000
3.997 7.662 0.000
-3.059 0.000 7.159
Ca Tl In Br
1 2 3 6
Direct
0.000 0.000 0.000
0.330 0.670 0.000
0.670 0.330 0.000
0.165 0.835 0.500
0.500 0.500 0.500
0.835 0.165 0.500
0.084 0.366 0.228
0.214 0.214 0.764
0.366 0.084 0.228
0.634 0.916 0.772
0.786 0.786 0.236
0.916 0.634 0.772